1.
The following is a DFT calculation (GGA-PBE) of a geometry-optimized TaC3Br structure.

a b c (Å): 3.8683 3.8683 3.8683
angles (deg): 90.00 90.00 90.00
Sites, in units of the cell vectors:
1 C 0.0000 0.0000 0.5000
2 C 0.5000 0.0000 0.0000
3 Br 0.0000 0.0000 0.0000
4 Ta 0.5000 0.5000 0.5000
5 C 0.0000 0.5000 0.0000

The space group is Pm-3m (221). Its density of states at the Fermi level is 2.9 states/eV/cell. The raw formation energy comes out at 3.124 eV/atom. The calculation puts the electronic total energy at -25.58 eV per cell. Its total magnetization is 0.00 μB per formula unit. As for the polymorph energy (0 for the lowest one): 935 meV per atom.

---

2.
The following is a DFT calculation (GGA-PBE) of a geometry-optimized MnGaCl3 structure.

a b c (Å): 3.7783 8.5456 8.4680
angles (deg): 102.58 90.00 90.00
Sites, in units of the cell vectors:
1 Ga 0.7500 0.6084 0.8178
2 Mn 0.2500 0.8309 0.3655
3 Cl 0.7500 0.3074 0.9287
4 Cl 0.2500 0.3503 0.5875
5 Mn 0.7500 0.1691 0.6345
6 Cl 0.7500 0.0282 0.3323
7 Cl 0.2500 0.9718 0.6677
8 Cl 0.7500 0.6497 0.4125
9 Ga 0.2500 0.3916 0.1822
10 Cl 0.2500 0.6926 0.0713

The space group is P2_1/m (11). Its density of states at the Fermi level is 0.0 states/eV/cell. The raw formation energy comes out at -0.916 eV/atom. The calculation puts the electronic total energy at -44.63 eV per cell. Its total magnetization is 5.00 μB per formula unit.

---

3.
The following is a DFT calculation (GGA-PBE) of a geometry-optimized KNa2Pr structure.

a b c (Å): 3.6991 3.6991 14.4770
angles (deg): 82.66 82.66 60.00
Sites, in units of the cell vectors:
1 Na 0.0811 0.0811 0.7566
2 Pr 0.0000 0.0000 0.0000
3 Na 0.9189 0.9189 0.2434
4 K 0.5000 0.5000 0.5000

The space group is R-3m (166). Its density of states at the Fermi level is 2.8 states/eV/cell. The calculation puts the electronic total energy at -7.48 eV per cell. Its total magnetization is 0.00 μB per formula unit.

---

4.
The following is a DFT calculation (GGA-PBE) of a geometry-optimized Pm8Te4P3H structure.

a b c (Å): 8.3924 8.6867 8.3929
angles (deg): 118.89 120.00 90.00
Sites, in units of the cell vectors:
1 Pm 0.7584 0.2849 0.0265
2 P 0.0000 0.5000 0.5000
3 Pm 0.2417 0.7152 0.4834
4 Pm 0.2416 0.7151 0.9735
5 Pm 0.2682 0.2849 0.0265
6 Pm 0.7318 0.7151 0.9735
7 Te 0.0000 0.0000 0.0000
8 Pm 0.7366 0.7097 0.4731
9 Te 0.0000 0.0000 0.5000
10 P 0.5000 0.5000 0.5000
11 Te 0.5000 0.0000 0.0000
12 P 0.5000 0.5000 0.0000
13 Te 0.5000 0.0000 0.5000
14 H 0.0000 0.5000 0.0000
15 Pm 0.2634 0.2903 0.5269
16 Pm 0.7583 0.2848 0.5166

The space group is R-3m (166). Its density of states at the Fermi level is 8.0 states/eV/cell. The calculation puts the electronic total energy at -91.93 eV per cell. Its total magnetization is 0.00 μB per formula unit.

---

5.
The following is a DFT calculation (GGA-PBE) of a geometry-optimized Sr2Mg2Pt structure.

a b c (Å): 7.2573 7.2573 5.5063
angles (deg): 90.00 90.00 90.00
Sites, in units of the cell vectors:
1 Sr 0.3185 0.1815 0.5000
2 Sr 0.1815 0.6815 0.5000
3 Mg 0.1487 0.3513 0.0000
4 Sr 0.6815 0.8185 0.5000
5 Sr 0.8185 0.3185 0.5000
6 Pt 0.5000 0.5000 0.0000
7 Pt 0.0000 0.0000 0.0000
8 Mg 0.8513 0.6487 0.0000
9 Mg 0.3513 0.8513 0.0000
10 Mg 0.6487 0.1487 0.0000

The space group is P4/mbm (127). Its density of states at the Fermi level is 7.4 states/eV/cell. The calculation puts the electronic total energy at -27.34 eV per cell. Its total magnetization is 0.00 μB per formula unit. As for the polymorph energy (0 for the lowest one): 216 meV per atom.

---

6.
The following is a DFT calculation (GGA-PBE) of a geometry-optimized Al2HgBr structure.

a b c (Å): 5.1098 5.1098 5.1098
angles (deg): 60.00 60.00 60.00
Sites, in units of the cell vectors:
1 Al 0.7500 0.7500 0.7500
2 Hg 0.5000 0.5000 0.5000
3 Br 0.0000 0.0000 0.0000
4 Al 0.2500 0.2500 0.2500

The space group is Fm-3m (225). Its density of states at the Fermi level is 3.1 states/eV/cell. The raw formation energy comes out at 0.236 eV/atom. The calculation puts the electronic total energy at -8.52 eV per cell. Its total magnetization is 0.00 μB per formula unit. As for the polymorph energy (0 for the lowest one): 243 meV per atom.

---

7.
The following is a DFT calculation (GGA-PBE) of a geometry-optimized Pr3Ag structure.

a b c (Å): 5.5436 5.5436 5.5436
angles (deg): 60.00 60.00 60.00
Sites, in units of the cell vectors:
1 Pr 0.0000 0.0000 0.0000
2 Pr 0.2500 0.2500 0.2500
3 Ag 0.5000 0.5000 0.5000
4 Pr 0.7500 0.7500 0.7500

The space group is Fm-3m (225). Its density of states at the Fermi level is 4.8 states/eV/cell. The calculation puts the electronic total energy at -16.83 eV per cell. Its total magnetization is 2.02 μB per formula unit. As for the polymorph energy (0 for the lowest one): 173 meV per atom.

---

8.
The following is a DFT calculation (GGA-PBE) of a geometry-optimized NaTc3Te structure.

a b c (Å): 4.9260 4.9260 4.9260
angles (deg): 90.00 90.00 90.00
Sites, in units of the cell vectors:
1 Tc 0.5000 0.0000 0.0000
2 Te 0.0000 0.0000 0.0000
3 Na 0.5000 0.5000 0.5000
4 Tc 0.0000 0.0000 0.5000
5 Tc 0.0000 0.5000 0.0000

The space group is Pm-3m (221). Its density of states at the Fermi level is 7.1 states/eV/cell. The raw formation energy comes out at 1.634 eV/atom. The calculation puts the electronic total energy at -27.39 eV per cell. Its total magnetization is 3.15 μB per formula unit. As for the polymorph energy (0 for the lowest one): 0 meV per atom.

---

9.
The following is a DFT calculation (GGA-PBE) of a geometry-optimized Pu2Ga3Tc structure.

a b c (Å): 5.4588 5.4588 5.3995
angles (deg): 89.95 120.36 120.05
Sites, in units of the cell vectors:
1 Ga 0.5000 0.0000 0.5000
2 Tc 0.0000 0.0000 0.0000
3 Ga 0.0000 0.0000 0.5000
4 Pu 0.7490 0.3745 0.1235
5 Ga 0.5000 0.5000 0.5000
6 Pu 0.2510 0.6255 0.8765

The space group is R-3m (166). Its density of states at the Fermi level is 15.4 states/eV/cell. The calculation puts the electronic total energy at -50.07 eV per cell. Its total magnetization is 10.22 μB per formula unit. As for the polymorph energy (0 for the lowest one): 0 meV per atom.

---

10.
The following is a DFT calculation (GGA-PBE) of a geometry-optimized SrIn3Ni structure.

a b c (Å): 6.1298 6.1298 6.1298
angles (deg): 90.00 90.00 90.00
Sites, in units of the cell vectors:
1 Sr 0.0000 0.0000 0.0000
2 Ni 0.5000 0.5000 0.5000
3 In 0.0000 0.5000 0.0000
4 In 0.0000 0.0000 0.5000
5 In 0.5000 0.0000 0.0000

The space group is Pm-3m (221). Its density of states at the Fermi level is 17.7 states/eV/cell. The calculation puts the electronic total energy at -8.83 eV per cell. Its total magnetization is 0.06 μB per formula unit.

---

11.
The following is a DFT calculation (GGA-PBE) of a geometry-optimized NaInPdF6 structure.

a b c (Å): 5.7147 5.7147 9.6406
angles (deg): 90.00 90.00 120.00
Sites, in units of the cell vectors:
1 In 0.6667 0.3333 0.2500
2 F 0.9876 0.3442 0.1344
3 Pd 0.3333 0.6667 0.2500
4 F 0.6558 0.0124 0.3656
5 Na 0.0000 0.0000 0.5000
6 Pd 0.6667 0.3333 0.7500
7 F 0.6434 0.9876 0.8656
8 F 0.3566 0.3442 0.3656
9 In 0.3333 0.6667 0.7500
10 F 0.0124 0.6558 0.8656
11 F 0.6434 0.6558 0.6344
12 F 0.3442 0.9876 0.6344
13 F 0.3566 0.0124 0.1344
14 F 0.6558 0.6434 0.1344
15 Na 0.0000 0.0000 0.0000
16 F 0.0124 0.3566 0.6344
17 F 0.3442 0.3566 0.8656
18 F 0.9876 0.6434 0.3656

The space group is P-31c (163). The raw formation energy comes out at -2.104 eV/atom. The calculation puts the electronic total energy at -78.83 eV per cell. Its total magnetization is 2.00 μB per formula unit.

---

Please write out number 1 again, unchanged.
The following is a DFT calculation (GGA-PBE) of a geometry-optimized TaC3Br structure.

a b c (Å): 3.8683 3.8683 3.8683
angles (deg): 90.00 90.00 90.00
Sites, in units of the cell vectors:
1 C 0.0000 0.0000 0.5000
2 C 0.5000 0.0000 0.0000
3 Br 0.0000 0.0000 0.0000
4 Ta 0.5000 0.5000 0.5000
5 C 0.0000 0.5000 0.0000

The space group is Pm-3m (221). Its density of states at the Fermi level is 2.9 states/eV/cell. The raw formation energy comes out at 3.124 eV/atom. The calculation puts the electronic total energy at -25.58 eV per cell. Its total magnetization is 0.00 μB per formula unit. As for the polymorph energy (0 for the lowest one): 935 meV per atom.